1.
Here is a relaxed K2Tl2Bi crystal from Alexandria. Energies are from PBE.

Summary:
For the calculated volume, the calculation gives 373 Å³ per cell. The density of states at the Fermi level is 0.442 states/eV per atom. The value obtained for the formation energy is 0.4 eV/f.u. For the total energy, the calculation gives -2.085 eV/atom. Its energy above the most stable polymorph in this dataset is 292 meV per atom. Its magnetic moment is 0.0 μB/cell.

Lattice parameters (Å, degrees): 4.8885 4.8885 15.6109 90.00 90.00 90.00
Space group I4/mmm (No. 139)
Asymmetric unit:
K1 0.0000 0.5000 0.2500
Tl1 0.0000 0.0000 0.0917
Bi1 0.0000 0.0000 0.5000

=====

2.
Here is a relaxed KTlTcBr6 crystal from Alexandria. Energies are from PBE.

Summary:
For the calculated volume, the calculation gives 671 Å³ per cell. For the total energy, the calculation gives -3.449 eV/atom. Its uncorrected formation energy is -692 kJ/mol of formula units. Its magnetic moment is 6.0 μB/cell.

Lattice parameters (Å, degrees): 7.8852 7.8852 12.4696 90.00 90.00 120.00
Space group P-31c (No. 163)
Asymmetric unit:
K1 0.3333 0.6667 0.2500
Tl1 0.0000 0.0000 0.0000
Tc1 0.3333 0.6667 0.7500
Br1 0.0713 0.4051 0.6311

=====

3.
Here is a relaxed YGa2SiPd crystal from Alexandria. Energies are from PBE.

Summary:
For the calculated volume, the calculation gives 109 Å³ per cell. The density of states at the Fermi level is 0.418 states/eV per atom. For the total energy, the calculation gives -4.740 eV/atom. Its uncorrected formation energy is -54 kJ/mol of formula units. Its magnetic moment is 0.0 μB/cell.

Lattice parameters (Å, degrees): 4.7961 4.7961 4.7290 90.00 90.00 90.00
Space group P4/mmm (No. 123)
Asymmetric unit:
Y1 0.0000 0.0000 0.0000
Ga1 0.0000 0.5000 0.5000
Si1 0.5000 0.5000 0.0000
Pd1 0.5000 0.5000 0.5000

=====

4.
Here is a relaxed Gd2TlGa crystal from Alexandria. Energies are from PBE.

Summary:
For the calculated volume, the calculation gives 104 Å³ per cell. The density of states at the Fermi level is 0.604 states/eV per atom. The value obtained for the formation energy is -1.9 eV/f.u. For the total energy, the calculation gives -8.868 eV/atom. Its energy above the most stable polymorph in this dataset is 0 meV per atom. Its magnetic moment is 14.4 μB/cell.

Lattice parameters (Å, degrees): 3.6323 3.6323 7.8564 90.00 90.00 90.00
Space group P4/mmm (No. 123)
Asymmetric unit:
Gd1 0.0000 0.0000 0.2312
Tl1 0.5000 0.5000 0.5000
Ga1 0.5000 0.5000 0.0000

=====

Copy entry 1 word for word.
Here is a relaxed K2Tl2Bi crystal from Alexandria. Energies are from PBE.

Summary:
For the calculated volume, the calculation gives 373 Å³ per cell. The density of states at the Fermi level is 0.442 states/eV per atom. The value obtained for the formation energy is 0.4 eV/f.u. For the total energy, the calculation gives -2.085 eV/atom. Its energy above the most stable polymorph in this dataset is 292 meV per atom. Its magnetic moment is 0.0 μB/cell.

Lattice parameters (Å, degrees): 4.8885 4.8885 15.6109 90.00 90.00 90.00
Space group I4/mmm (No. 139)
Asymmetric unit:
K1 0.0000 0.5000 0.2500
Tl1 0.0000 0.0000 0.0917
Bi1 0.0000 0.0000 0.5000

=====

- The highest calculated volume belongs to which entry?
  KTlTcBr6